Pm8Se3S4 after structural relaxation. Source: Alexandria via LeMat-Bulk, functional PBE.

Mass density (g cm⁻³): 6.51
N(E_F) (states/eV per cell): 4.87
Magnetization (μB per formula unit): 0.0
Symmetry: C2/m, No. 12
Formation energy without anion corrections (eV per atom): -1.80

Lattice parameters (Å, degrees): 8.211 8.194 8.194 90.03 120.07 120.07
Atoms (fractional coordinates):
Pm: 0.000 0.758 0.242
Pm: 0.013 0.764 0.764
Pm: 0.518 0.766 0.766
Pm: 0.000 0.242 0.758
Pm: 0.987 0.236 0.236
Pm: 0.482 0.234 0.234
Pm: 0.500 0.240 0.760
Pm: 0.500 0.760 0.240
Se: 0.500 0.500 0.000
Se: 0.500 0.500 0.500
Se: 0.500 0.000 0.500
S: 0.000 0.000 0.000
S: 0.000 0.500 0.000
S: 0.500 0.000 0.000
S: 0.000 0.000 0.500